VASP calculation (PBE-GGA) on crystalline CeDy3Tl2 at its relaxed geometry.

Computed properties:
* formation energy: -160 meV per atom

a b c (Å): 8.1931 8.1931 4.4245
angles (deg): 90.00 90.00 145.30
Last column: nearest neighbours and their distance in Å.
Fractional coordinates of all 6 atoms:
Ce  0.0000  0.0000  0.0000  8 Dy 3.30-3.49, 4 Tl 3.45
Dy  0.1726  0.8274  0.5000  6 Tl 3.31-3.48, 4 Dy 3.44-3.64, 2 Ce 3.49
Dy  0.5000  0.5000  0.5000  4 Tl 3.29, 4 Ce 3.30, 4 Dy 3.64
Dy  0.8274  0.1726  0.5000  6 Tl 3.31-3.48, 4 Dy 3.44-3.64, 2 Ce 3.49
Tl  0.3441  0.6559  0.0000  8 Dy 3.29-3.48, 2 Ce 3.45
Tl  0.6559  0.3441  0.0000  8 Dy 3.29-3.48, 2 Ce 3.45

***

VASP calculation (PBE-GGA) on crystalline CsSn2Hg2 at its relaxed geometry.

Computed properties:
* formation energy: -11 meV per atom
* polymorph energy (0 for the lowest one): 0.139 eV/atom

a b c (Å): 9.5618 9.5618 3.4365
angles (deg): 90.00 90.00 90.00
Last column: nearest neighbours and their distance in Å.
Fractional coordinates of all 10 atoms:
Cs  0.0000  0.0000  0.0000  2 Cs 3.44, 4 Hg 3.65
Cs  0.5000  0.5000  0.0000  2 Cs 3.44, 4 Hg 3.65
Sn  0.1386  0.3614  0.5000  6 Hg 3.24-3.35, 2 Sn 3.44
Sn  0.3614  0.8614  0.5000  6 Hg 3.24-3.35, 2 Sn 3.44
Sn  0.6386  0.1386  0.5000  6 Hg 3.24-3.35, 2 Sn 3.44
Sn  0.8614  0.6386  0.5000  6 Hg 3.24-3.35, 2 Sn 3.44
Hg  0.1489  0.6489  0.0000  6 Sn 3.24-3.35, 2 Hg 3.44
Hg  0.3511  0.1489  0.0000  6 Sn 3.24-3.35, 2 Hg 3.44
Hg  0.6489  0.8511  0.0000  6 Sn 3.24-3.35, 2 Hg 3.44
Hg  0.8511  0.3511  0.0000  6 Sn 3.24-3.35, 2 Hg 3.44

***

VASP calculation (PBE-GGA) on crystalline Al3PdSe at its relaxed geometry.

Computed properties:
* raw formation energy: 663.6 meV per atom
* polymorph energy (0 for the lowest one): 0.817 eV/atom

a b c (Å): 4.8360 4.8360 4.8360
angles (deg): 90.00 90.00 90.00
Last column: nearest neighbours and their distance in Å.
Fractional coordinates of all 5 atoms:
Al  0.0000  0.0000  0.5000  2 Se 2.42
Al  0.0000  0.5000  0.0000  2 Se 2.42
Al  0.5000  0.0000  0.0000  2 Se 2.42
Pd  0.5000  0.5000  0.5000  12 Al 3.42
Se  0.0000  0.0000  0.0000  6 Al 2.42